Computed, not measured: a PBEsol-optimized structure of ZnReAu at the meta-GGA SCAN level of DFT.

Space-group type ... F-43m
Volume ... 16.817 Å³/atom
Energy relative to the elements ... 0.897 eV per atom
DOS(E_F) ... 1.1 states/eV per cell
E ... -151.08 eV per cell
Crystal system ... cubic

a = 4.1476 Å, b = 4.1476 Å, c = 4.1476 Å
α = 60.00°, β = 60.00°, γ = 60.00°
With the nearest neighbours (Å) after each atom.
Atoms (fractional coordinates):
Re 0.5000 0.5000 0.5000  4 Zn 2.54
Au 0.0000 0.0000 0.0000  4 Zn 2.54
Zn 0.7500 0.7500 0.7500  4 Re 2.54, 4 Au 2.54